This record from the Alexandria database describes MgPd5 at its PBEsol-relaxed geometry. The functional is meta-GGA SCAN.

The structure belongs to space group R32 (No. 155, hexagonal axes); the cell edges are 4.7662, 4.7662 and 13.5350 Å and the angles 90.00°, 90.00° and 120.00°. The asymmetric unit holds Mg at (0.0000, 0.0000, 0.0000), Pd at (0.0000, 0.0000, 0.3318) and Pd at (0.0000, 0.6687, 0.5000).

The value obtained for the calculated volume is 14.79 A^3/atom. Its calculated formation energy is -324.7 meV/atom. The value obtained for the density of states at the Fermi level is 1.630 states/eV/atom. Its density is 10.41 g/cm³. The calculation puts the final energy at -28.4656 eV per atom.

This record from the Alexandria database describes Cr2ReSb at its PBEsol-relaxed geometry. The functional is meta-GGA SCAN.

The structure belongs to space group C2/m (No. 12); the cell edges are 8.8728, 3.0057 and 4.5555 Å and the angles 90.00°, 104.97° and 90.00°. The asymmetric unit holds Cr at (0.2423, 0.0000, 0.2001), Re at (0.0000, 0.5000, 0.0000) and Sb at (0.0000, 0.0000, 0.5000).

The value obtained for the calculated volume is 14.67 A^3/atom. Its uncorrected formation energy is 0.52 eV/atom. The value obtained for the density of states at the Fermi level is 0.906 states/eV/atom. Its density is 11.66 g/cm³. The calculation puts the final energy at -35.7608 eV per atom.